Computed, not measured: Nd8Th after structural relaxation at the PBE-GGA level of DFT.

Uncorrected energy ... -5.03 eV/atom
Symmetry ... I4/mmm
Density of states at the Fermi level ... 14.35 states/eV/f.u.
Energy of formation from the pure elements ... 0.0309 eV/atom
Total magnetic moment ... 0.00 Bohr magnetons per cell
Mass density ... 7.3 g/cm3

Cell and atoms, written as CIF:
```
data_Nd8Th
_chemical_formula_sum 'Nd8 Th1'
_cell_length_a 5.207
_cell_length_b 8.202
_cell_length_c 8.202
_cell_angle_alpha 84.22
_cell_angle_beta 71.49
_cell_angle_gamma 71.49
_space_group_name_H-M_alt 'P 1'
_space_group_IT_number 1
_space_group_name_Hall 'P 1'
loop_
_atom_site_label
_atom_site_type_symbol
_atom_site_fract_x
_atom_site_fract_y
_atom_site_fract_z
Nd1 Nd 0.338 0.000 0.324
Nd2 Nd 0.662 0.000 0.676
Nd3 Nd 0.662 0.676 0.000
Nd4 Nd 0.000 0.670 0.330
Nd5 Nd 0.330 0.670 0.670
Nd6 Nd 0.670 0.330 0.330
Nd7 Nd 0.000 0.330 0.670
Nd8 Nd 0.338 0.324 0.000
Th1 Th 0.000 0.000 0.000
```